Entry from the Alexandria database: an optimized crystal structure of Y6Tl5In (GGA-PBE).

The value obtained for the uncorrected energy is -116.182 eV per cell. The formation energy is -0.39 eV/atom. The calculation puts the density at 8.47 g cm⁻³. The calculation puts the energy relative to the lowest polymorph listed for this composition at 0.000 eV/f.u.

a b c (Å): 9.259 16.143 5.367
angles (deg): 90.00 125.31 90.00
Space group C2/m (No. 12)
Symmetry-distinct sites (fractional):
Y  0.249  0.000  0.249 x4
Y  0.250  0.166  0.750 x8
Tl  0.000  0.167  0.000 x4
Tl  0.000  0.333  0.500 x4
Tl  0.000  0.500  0.000 x2
In  0.000  0.000  0.500 x2